VTeIrO6: optimized geometry, PBE+U.

Cell lengths 5.182, 5.182, 8.656 Å; angles 90.00, 90.00, 120.00 degrees
Site moments in Bohr magnetons follow the coordinates.
Fractional positions:
V (0.333, 0.667, 0.250)  1.85
V (0.667, 0.333, 0.750)  1.85
O (0.339, 0.344, 0.873)  -0.01
O (0.344, 0.005, 0.127)  -0.01
O (0.005, 0.344, 0.627)  -0.01
O (0.339, 0.995, 0.627)  -0.01
O (0.661, 0.005, 0.373)  -0.01
O (0.005, 0.661, 0.873)  -0.01
O (0.656, 0.661, 0.627)  -0.01
O (0.661, 0.656, 0.127)  -0.01
O (0.656, 0.995, 0.873)  -0.01
O (0.995, 0.656, 0.373)  -0.01
O (0.344, 0.339, 0.373)  -0.01
O (0.995, 0.339, 0.127)  -0.01
Ir (0.000, 0.000, 0.000)  0.06
Ir (0.000, 0.000, 0.500)  0.06
Te (0.333, 0.667, 0.750)  0.01
Te (0.667, 0.333, 0.250)  0.01

Calculated values
Symmetry: P-31c, No. 163
Crystal system: trigonal
DFT total energy, eV per atom: -6.53
Total moment, Bohr magnetons per cell: 3.99